# 1
A plane-wave DFT calculation with PBE was carried out for BN after structural relaxation.

Properties
Excess energy over the best structure of this formula in the dataset = 283 meV per atom

a b c (Å): 6.166 6.166 2.586
angles (deg): 90.00 90.00 120.00
Element x y z (fractional)
B 0.406 0.337 0.250
B 0.663 0.069 0.250
B 0.337 0.931 0.750
B 0.069 0.406 0.750
B 0.931 0.594 0.250
B 0.594 0.663 0.750
N 0.909 0.314 0.250
N 0.405 0.091 0.250
N 0.091 0.686 0.750
N 0.595 0.909 0.750
N 0.314 0.405 0.750
N 0.686 0.595 0.250


# 2
A plane-wave DFT calculation with PBE was carried out for Mn5Ru after structural relaxation.

Properties
Excess energy over the best structure of this formula in the dataset = 66 meV per atom
Energy of formation = 7.8 kJ/mol of atoms

a b c (Å): 4.636 4.636 4.636
angles (deg): 60.00 60.00 60.00
Element x y z (fractional)
Mn 0.375 0.375 0.375
Mn 0.375 0.874 0.375
Mn 0.750 0.750 0.750
Mn 0.375 0.375 0.874
Mn 0.874 0.375 0.375
Ru 0.000 0.000 0.000


# 3
A plane-wave DFT calculation with PBE was carried out for Be2SbPb after structural relaxation.

Properties
Excess energy over the best structure of this formula in the dataset = 397 meV per atom

a b c (Å): 5.063 5.063 5.063
angles (deg): 135.28 113.62 83.61
Element x y z (fractional)
Sb 0.250 0.750 0.500
Pb 0.750 0.250 0.500
Be 0.478 0.478 0.000
Be 0.022 0.022 0.000


# 4
A plane-wave DFT calculation with PBE was carried out for AsPRh after structural relaxation.

Properties
Excess energy over the best structure of this formula in the dataset = 395 meV per atom
Energy of formation = -16.5 kJ/mol of atoms

a b c (Å): 3.011 2.920 11.763
angles (deg): 90.00 90.00 90.00
Element x y z (fractional)
As 0.000 0.500 0.834
As 0.000 0.000 0.334
P 0.000 0.500 0.623
P 0.000 0.000 0.123
Rh 0.500 0.000 0.532
Rh 0.500 0.500 0.032


# 5
A plane-wave DFT calculation with PBE was carried out for Ca2TcOs after structural relaxation.

Properties
Excess energy over the best structure of this formula in the dataset = 487 meV per atom
Energy of formation = 71.9 kJ/mol of atoms

a b c (Å): 2.856 2.856 9.664
angles (deg): 90.00 90.00 104.26
Element x y z (fractional)
Os 0.500 0.500 0.250
Tc 0.500 0.500 0.750
Ca 0.000 0.000 0.006
Ca 0.000 0.000 0.494


# 6
A plane-wave DFT calculation with PBE was carried out for Pr3Se after structural relaxation.

Properties
Excess energy over the best structure of this formula in the dataset = 108 meV per atom

a b c (Å): 3.822 3.815 9.497
angles (deg): 90.00 90.00 90.00
Element x y z (fractional)
Se 0.000 0.000 0.994
Pr 0.500 0.000 0.742
Pr 0.500 0.500 0.129
Pr 0.000 0.500 0.468


# 7
A plane-wave DFT calculation with PBE was carried out for CuHI3 after structural relaxation.

Properties
Excess energy over the best structure of this formula in the dataset = 34 meV per atom

a b c (Å): 3.969 8.692 10.751
angles (deg): 90.00 100.64 90.00
Element x y z (fractional)
I 0.894 0.238 0.789
I 0.241 0.397 0.481
I 0.759 0.897 0.519
I 0.585 0.184 0.170
I 0.415 0.684 0.830
I 0.106 0.738 0.211
Cu 0.627 0.919 0.254
Cu 0.373 0.419 0.746
H 0.805 0.057 0.610
H 0.195 0.557 0.390


# 8
A plane-wave DFT calculation with PBE was carried out for K2HfPdPb after structural relaxation.

Properties
Energy of formation = 116.8 kJ/mol of atoms

a b c (Å): 6.862 5.455 6.862
angles (deg): 90.00 90.00 90.00
Element x y z (fractional)
Pd 0.500 0.500 0.500
Pb 0.000 0.500 0.000
K 0.500 0.000 0.000
K 0.000 0.000 0.500
Hf 0.000 0.000 0.000


# 9
A plane-wave DFT calculation with PBE was carried out for BaFeP2 after structural relaxation.

Properties
Excess energy over the best structure of this formula in the dataset = 631 meV per atom
Energy of formation = 6.2 kJ/mol of atoms

a b c (Å): 3.341 3.343 7.262
angles (deg): 90.00 90.00 90.00
Element x y z (fractional)
P 0.000 0.000 0.938
P 0.500 0.500 0.191
Fe 0.500 0.500 0.886
Ba 0.000 0.000 0.485


# 10
A plane-wave DFT calculation with PBE was carried out for Mg2BeHgTe after structural relaxation.

Properties
VASP energy = -1.8406 eV/atom

a b c (Å): 5.293 4.499 5.293
angles (deg): 90.00 90.00 90.00
Element x y z (fractional)
Be 0.000 0.500 0.000
Mg 0.000 0.000 0.500
Mg 0.500 0.000 0.000
Hg 0.000 0.000 0.000
Te 0.500 0.500 0.500